# Dy6Tm2Sc

A relaxed structure of Dy6Tm2Sc (PBE-GGA, Alexandria via LeMat-Bulk).

Values from the calculation:
Magnetization   0.00 μB/atom
Polymorph energy (0 for the lowest one)   93 meV per atom

Unit cell a=6.4631 b=9.4095 c=9.4095 alpha=95.59 beta=80.77 gamma=80.77
Closest atoms and distances in Å follow each position.
Positions (direct):
Dy: 0.7300 0.0574 0.4569  7 Dy 3.33-3.72, 1 Sc 3.41, 2 Tm 3.43-3.55
Dy: 0.8107 0.9542 0.7824  3 Dy 3.23-3.41, 1 Sc 3.29, 2 Tm 3.45-3.46
Sc: 0.7500 0.8804 0.1196  6 Dy 3.22-3.41
Tm: 0.6319 0.6641 0.6184  3 Tm 3.29-3.53, 7 Dy 3.34-3.55
Dy: 0.0024 0.2803 0.6537  5 Dy 3.17-3.52, 1 Sc 3.22, 3 Tm 3.34-3.43
Dy: 0.1893 0.0458 0.2176  3 Dy 3.23-3.41, 1 Sc 3.29, 2 Tm 3.45-3.46
Tm: 0.3681 0.3359 0.3816  3 Tm 3.29-3.53, 7 Dy 3.34-3.55
Dy: 0.2300 0.4569 0.0574  7 Dy 3.33-3.72, 1 Sc 3.41, 2 Tm 3.43-3.55
Dy: 0.7700 0.5431 0.9426  7 Dy 3.33-3.72, 1 Sc 3.41, 2 Tm 3.43-3.55
Sc: 0.2500 0.1196 0.8804  6 Dy 3.22-3.41
Dy: 0.4976 0.3463 0.7197  5 Dy 3.17-3.52, 1 Sc 3.22, 3 Tm 3.34-3.43
Dy: 0.3107 0.7824 0.9542  3 Dy 3.23-3.41, 1 Sc 3.29, 2 Tm 3.45-3.46
Tm: 0.1319 0.6184 0.6641  3 Tm 3.29-3.53, 7 Dy 3.34-3.55
Dy: 0.9976 0.7197 0.3463  5 Dy 3.17-3.52, 1 Sc 3.22, 3 Tm 3.34-3.43
Dy: 0.2700 0.9426 0.5431  7 Dy 3.33-3.72, 1 Sc 3.41, 2 Tm 3.43-3.55
Dy: 0.5024 0.6537 0.2803  5 Dy 3.17-3.52, 1 Sc 3.22, 3 Tm 3.34-3.43
Dy: 0.6893 0.2176 0.0458  3 Dy 3.23-3.41, 1 Sc 3.29, 2 Tm 3.45-3.46
Tm: 0.8681 0.3816 0.3359  3 Tm 3.29-3.53, 7 Dy 3.34-3.55


# Y4PuAg5

A relaxed structure of Y4PuAg5 (PBE-GGA, Alexandria via LeMat-Bulk).

Values from the calculation:
Magnetization   0.57 μB/atom
Energy   -5.6857 eV per atom

Unit cell a=3.6098 b=3.6098 c=18.6630 alpha=90.00 beta=90.00 gamma=90.00
Closest atoms and distances in Å follow each position.
Positions (direct):
Pu: 0.0000 0.0000 0.0000  8 Ag 3.25, 4 Pu 3.61
Ag: 0.5000 0.5000 0.8923  4 Y 3.10, 4 Pu 3.25
Y: 0.0000 0.0000 0.2018  8 Ag 3.10-3.16
Y: 0.0000 0.0000 0.5992  8 Ag 3.15
Ag: 0.5000 0.5000 0.1077  4 Y 3.10, 4 Pu 3.25
Ag: 0.5000 0.5000 0.5000  8 Y 3.15
Y: 0.0000 0.0000 0.7982  8 Ag 3.10-3.16
Y: 0.0000 0.0000 0.4008  8 Ag 3.15
Ag: 0.5000 0.5000 0.6984  8 Y 3.15-3.16
Ag: 0.5000 0.5000 0.3016  8 Y 3.15-3.16


# Ba3Li2Pt

A relaxed structure of Ba3Li2Pt (PBE-GGA, Alexandria via LeMat-Bulk).

Values from the calculation:
Magnetization   0.00 μB/atom
Energy   -2.9077 eV per atom

Unit cell a=4.6758 b=13.9307 c=14.1103 alpha=90.00 beta=90.00 gamma=90.00
Closest atoms and distances in Å follow each position.
Positions (direct):
Pt: 0.2500 0.1266 0.1191  3 Li 2.71-2.75
Ba: 0.7500 0.2930 0.7668  3 Li 3.30-3.55, 2 Pt 3.33
Ba: 0.2500 0.1356 0.5529  1 Pt 3.44, 2 Li 3.53
Li: 0.7500 0.5162 0.2190  1 Pt 2.75
Pt: 0.7500 0.8734 0.8809  3 Li 2.71-2.75
Ba: 0.7500 0.8644 0.4471  1 Pt 3.44, 2 Li 3.53
Li: 0.7500 0.1752 0.0349  2 Pt 2.71
Ba: 0.2500 0.0515 0.8907  5 Li 3.33-3.55, 3 Pt 3.39-3.41
Li: 0.2500 0.4838 0.7810  1 Pt 2.75
Li: 0.7500 0.9838 0.7190  1 Pt 2.75
Ba: 0.7500 0.6356 0.9471  1 Pt 3.44, 2 Li 3.53
Ba: 0.2500 0.3644 0.0529  1 Pt 3.44, 2 Li 3.53
Ba: 0.2500 0.7930 0.7332  3 Li 3.30-3.55, 2 Pt 3.33
Ba: 0.7500 0.9485 0.1093  5 Li 3.33-3.55, 3 Pt 3.39-3.41
Pt: 0.2500 0.3734 0.6191  3 Li 2.71-2.75
Ba: 0.7500 0.2070 0.2668  3 Li 3.30-3.55, 2 Pt 3.33
Li: 0.2500 0.6752 0.4651  2 Pt 2.71
Li: 0.2500 0.8248 0.9651  2 Pt 2.71
Ba: 0.2500 0.7070 0.2332  3 Li 3.30-3.55, 2 Pt 3.33
Pt: 0.7500 0.6266 0.3809  3 Li 2.71-2.75
Ba: 0.2500 0.4485 0.3907  5 Li 3.33-3.55, 3 Pt 3.39-3.41
Ba: 0.7500 0.5515 0.6093  5 Li 3.33-3.55, 3 Pt 3.39-3.41
Li: 0.7500 0.3248 0.5349  2 Pt 2.71
Li: 0.2500 0.0162 0.2810  1 Pt 2.75


# NaMgV

A relaxed structure of NaMgV (PBE-GGA, Alexandria via LeMat-Bulk).

Values from the calculation:
Magnetization   0.00 μB/atom
Polymorph energy (0 for the lowest one)   244 meV per atom

Unit cell a=2.9587 b=7.8949 c=6.2028 alpha=108.81 beta=97.77 gamma=96.80
Closest atoms and distances in Å follow each position.
Positions (direct):
Na: 0.1197 0.9105 0.1956  4 Na 2.96-3.31, 2 V 3.10-3.14, 1 Mg 3.31
V: 0.4843 0.5391 0.8924  1 V 1.88
V: 0.2674 0.5199 0.1566  1 V 1.88
Na: 0.8121 0.3088 0.4360  4 Na 2.96-3.31, 4 V 3.09-3.18, 2 Mg 3.22-3.30
Mg: 0.9509 0.7560 0.6199  2 Mg 2.96, 4 V 3.10-3.21, 2 Na 3.30-3.31
Mg: 0.6498 0.1711 0.8603  3 V 2.95-3.21, 2 Mg 2.96, 1 Na 3.22


# BaTlSn2Te

A relaxed structure of BaTlSn2Te (PBE-GGA, Alexandria via LeMat-Bulk).

Values from the calculation:
Magnetization   0.00 μB/atom
Energy relative to the elements, uncorrected   489 meV/atom

Unit cell a=6.3597 b=6.3921 c=6.3597 alpha=90.00 beta=90.00 gamma=90.00
Closest atoms and distances in Å follow each position.
Positions (direct):
Ba: 0.0000 0.0000 0.0000  4 Sn 3.18, 2 Te 3.20
Te: 0.0000 0.5000 0.0000  2 Ba 3.20
Sn: 0.0000 0.0000 0.5000  2 Ba 3.18
Tl: 0.5000 0.5000 0.5000  4 Te 4.50, 8 Sn 4.51
Sn: 0.5000 0.0000 0.0000  2 Ba 3.18


# Pr7Nd3In

A relaxed structure of Pr7Nd3In (PBE-GGA, Alexandria via LeMat-Bulk).

Values from the calculation:
Magnetization   0.00 μB/atom
Energy   -4.5087 eV per atom

Unit cell a=8.8141 b=7.2083 c=7.2083 alpha=120.00 beta=90.00 gamma=90.00
Closest atoms and distances in Å follow each position.
Positions (direct):
In: 0.4538 0.3333 0.6667  3 Nd 3.54, 9 Pr 3.56-3.60
Nd: 0.7791 0.0009 0.5005  1 In 3.54, 5 Pr 3.58-3.67, 4 Nd 3.59-3.61
Pr: 0.4483 0.8316 0.1684  7 Pr 3.56-3.64, 2 Nd 3.58, 2 In 3.60
Pr: 0.4483 0.8316 0.6632  7 Pr 3.56-3.64, 2 Nd 3.58, 2 In 3.60
Pr: 0.1230 0.6616 0.8308  8 Pr 3.55-3.66, 1 In 3.56, 2 Nd 3.67
Nd: 0.7791 0.4995 0.9991  1 In 3.54, 5 Pr 3.58-3.67, 4 Nd 3.59-3.61
Pr: 0.1230 0.1692 0.3384  8 Pr 3.55-3.66, 1 In 3.56, 2 Nd 3.67
Nd: 0.7791 0.4995 0.5005  1 In 3.54, 5 Pr 3.58-3.67, 4 Nd 3.59-3.61
Pr: 0.4483 0.3368 0.1684  7 Pr 3.56-3.64, 2 Nd 3.58, 2 In 3.60
Pr: 0.1230 0.1692 0.8308  8 Pr 3.55-3.66, 1 In 3.56, 2 Nd 3.67
Pr: 0.1099 0.6667 0.3333  3 Nd 3.59, 9 Pr 3.61-3.62


# CaCdSi2

A relaxed structure of CaCdSi2 (PBE-GGA, Alexandria via LeMat-Bulk).

Values from the calculation:
Magnetization   0.00 μB/atom
Energy relative to the elements, uncorrected   -14 meV/atom

Unit cell a=3.4081 b=3.4579 c=7.1384 alpha=90.00 beta=90.00 gamma=90.00
Closest atoms and distances in Å follow each position.
Positions (direct):
Si: 0.5000 0.5000 0.1813  4 Si 2.59, 1 Cd 2.79
Si: 0.0000 0.0000 0.0561  4 Si 2.59
Ca: 0.0000 0.0000 0.4721  5 Si 2.97-3.19, 4 Cd 3.32
Cd: 0.5000 0.5000 0.7904  5 Si 2.79-3.08


# SbRhBr2

A relaxed structure of SbRhBr2 (PBE-GGA, Alexandria via LeMat-Bulk).

Values from the calculation:
Magnetization   0.00 μB/atom
Polymorph energy (0 for the lowest one)   417 meV per atom
Energy relative to the elements, uncorrected   -25 meV/atom

Unit cell a=6.7213 b=6.7213 c=6.7213 alpha=149.91 beta=139.11 gamma=51.60
Closest atoms and distances in Å follow each position.
Positions (direct):
Sb: 0.3331 0.8331 0.5000  2 Rh 2.58
Br: 0.6924 0.1924 0.5000  2 Rh 3.01
Br: 0.9843 0.9843 0.0000  4 Rh 2.93, 2 Sb 2.98
Rh: 0.4902 0.4902 0.0000  2 Sb 2.58


# Zn2TcN

A relaxed structure of Zn2TcN (PBE-GGA, Alexandria via LeMat-Bulk).

Values from the calculation:
Magnetization   0.00 μB/atom
Energy relative to the elements, uncorrected   419 meV/atom

Unit cell a=7.3345 b=7.3345 c=5.5578 alpha=48.71 beta=48.71 gamma=90.00
Closest atoms and distances in Å follow each position.
Positions (direct):
Zn: 0.8750 0.7827 0.7500  2 N 2.22, 2 Zn 2.41
N: 0.5000 0.5000 0.0000  2 Tc 2.00, 4 Zn 2.22
Zn: 0.5327 0.1250 0.2500  2 N 2.22, 2 Zn 2.41
Zn: 0.3750 0.4673 0.7500  2 N 2.22, 2 Zn 2.41
Zn: 0.2173 0.6250 0.2500  2 N 2.22, 2 Zn 2.41
N: 0.2500 0.7500 0.5000  2 Tc 2.00, 4 Zn 2.22
Tc: 0.7500 0.2500 0.5000  2 N 2.00
Tc: 0.0000 0.0000 0.0000  2 N 2.00


# Pr5NdSb4

A relaxed structure of Pr5NdSb4 (PBE-GGA, Alexandria via LeMat-Bulk).

Values from the calculation:
Magnetization   0.00 μB/atom
Energy relative to the elements, uncorrected   -805 meV/atom

Unit cell a=4.4612 b=8.8331 c=9.9694 alpha=104.83 beta=102.93 gamma=90.00
Closest atoms and distances in Å follow each position.
Positions (direct):
Pr: 0.1731 0.3458 0.3461  3 Sb 3.13-3.16
Pr: 0.1636 0.8318 0.3271  4 Sb 3.14-3.18
Sb: 0.3308 0.9096 0.6616  5 Pr 3.14-3.17, 1 Nd 3.17
Nd: 0.5000 0.0000 0.0000  6 Sb 3.15-3.17
Sb: 0.0059 0.2544 0.0119  4 Pr 3.13-3.18, 2 Nd 3.15
Sb: 0.6692 0.0904 0.3384  5 Pr 3.14-3.17, 1 Nd 3.17
Pr: 0.8364 0.1682 0.6729  4 Sb 3.14-3.18
Pr: 0.8269 0.6542 0.6539  3 Sb 3.13-3.16
Pr: 0.5000 0.5000 0.0000  4 Sb 3.13
Sb: 0.9941 0.7456 0.9881  4 Pr 3.13-3.18, 2 Nd 3.15


# ErAsS2

A relaxed structure of ErAsS2 (PBE-GGA, Alexandria via LeMat-Bulk).

Values from the calculation:
Magnetization   0.00 μB/atom
Energy relative to the elements, uncorrected   -320 meV/atom

Unit cell a=3.7199 b=3.7199 c=8.4527 alpha=77.29 beta=77.29 gamma=60.00
Closest atoms and distances in Å follow each position.
Positions (direct):
S: 0.1087 0.1087 0.6739  3 As 2.58, 1 Er 2.67
Er: 0.0000 0.0000 0.0000  2 S 2.67
S: 0.8913 0.8913 0.3261  3 As 2.58, 1 Er 2.67
As: 0.5000 0.5000 0.5000  6 S 2.58


DOS at the Fermi energy for the records above, in order: 1.377, 1.297, 0.644, 0.549, 1.602, 1.490, 0.658, 0.397, 0.579, 0.777, 0.251 states/eV per atom